Record 1
Computed, not measured: HfNbZn3 after structural relaxation at the GGA-PBE level of DFT.

Summary:
E above lowest polymorph: 0.000 eV per atom
V: 21.94 Å³/atom

Cell and atoms, written as CIF:
```
data_HfNbZn3
_cell_length_a 4.787
_cell_length_b 4.787
_cell_length_c 4.787
_cell_angle_alpha 90.00
_cell_angle_beta 90.00
_cell_angle_gamma 90.00
_space_group_name_H-M_alt 'P m -3 m'
_space_group_IT_number 221
_space_group_name_Hall '-P 4 2 3'
loop_
_atom_site_label
_atom_site_fract_x
_atom_site_fract_y
_atom_site_fract_z
Hf1 0.000 0.000 0.000
Nb1 0.500 0.500 0.500
Zn1 0.000 0.500 0.500
```

=====

Record 2
Computed, not measured: Na3NbAg after structural relaxation at the GGA-PBE level of DFT.

Summary:
E above lowest polymorph: 0.000 eV per atom
V: 32.78 Å³/atom

Cell and atoms, written as CIF:
```
data_Na3NbAg
_cell_length_a 5.473
_cell_length_b 5.473
_cell_length_c 5.473
_cell_angle_alpha 90.00
_cell_angle_beta 90.00
_cell_angle_gamma 90.00
_space_group_name_H-M_alt 'P m -3 m'
_space_group_IT_number 221
_space_group_name_Hall '-P 4 2 3'
loop_
_atom_site_label
_atom_site_fract_x
_atom_site_fract_y
_atom_site_fract_z
Na1 0.000 0.000 0.500
Nb1 0.500 0.500 0.500
Ag1 0.000 0.000 0.000
```

=====

Record 3
Computed, not measured: Rb3SnBr7 after structural relaxation at the GGA-PBE level of DFT.

Summary:
ΔE_f (raw): -1.233 eV per atom
V: 41.53 Å³/atom

Cell and atoms, written as CIF:
```
data_Rb3SnBr7
_cell_length_a 10.238
_cell_length_b 10.763
_cell_length_c 8.555
_cell_angle_alpha 90.00
_cell_angle_beta 104.26
_cell_angle_gamma 90.00
_space_group_name_H-M_alt 'C 1 m 1'
_space_group_IT_number 8
_space_group_name_Hall 'C -2y'
loop_
_atom_site_label
_atom_site_fract_x
_atom_site_fract_y
_atom_site_fract_z
Rb1 0.000 0.000 0.000
Rb2 0.479 0.223 0.449
Sn1 0.016 0.500 0.959
Br1 0.098 0.000 0.403
Br2 0.167 0.500 0.739
Br3 0.172 0.327 0.134
Br4 0.357 0.000 0.163
Br5 0.366 0.180 0.796
```